No. 1
# Li2Mg5Bi3H2

Crystalline Li2Mg5Bi3H2 at its relaxed geometry (GGA-PBE, Alexandria).

```
Li2Mg5Bi3H2
1.0
-4.4162 -0.6518 0.3390
0.5555 -1.6102 4.1401
0.6023 12.5277 2.3711
Li Bi H Mg
2 3 2 5
Cartesian
-0.7918 6.7951 2.7491
-2.4665 3.4705 4.1012
-2.7793 6.1545 5.1871
0.0000 0.0000 0.0000
-0.4791 4.1111 1.6632
-2.1553 0.7996 3.0206
-1.1031 9.4661 3.8297
0.0100 1.4925 2.9996
-2.4758 1.9717 1.0991
-3.2684 8.7731 3.8507
-1.9303 -1.1310 2.2396
-0.7826 8.2939 5.7512
```

Output
DFT total energy = -32.66 eV/cell


No. 2
# Ho4Tm3PuS8

Crystalline Ho4Tm3PuS8 at its relaxed geometry (GGA-PBE, Alexandria).

```
Ho4Tm3PuS8
1.0
-2.4907 6.1921 -3.9385
-7.2252 -2.8101 0.1512
3.9294 0.9375 6.6135
S Tm Ho Pu
8 3 4 1
Cartesian
-5.2996 3.0058 0.4527
-4.0611 -0.0740 2.4519
-1.7254 4.3935 0.3742
-2.4359 0.8731 -0.9466
-2.1208 0.3889 5.7174
-3.3506 3.4464 3.7727
-3.6658 3.9306 -2.8913
-0.4869 1.3137 2.3734
-4.8580 1.6910 -1.8937
-2.8933 2.1598 1.4131
-1.6479 -0.9363 3.3823
0.7193 3.5648 1.3375
0.0000 0.0000 0.0000
1.9647 0.4688 3.3067
-1.2454 3.0961 -1.9693
-3.6126 -1.4051 0.0756
```

Output
Uncorrected formation energy = -3004 kJ/mol of formula units
DFT total energy = -110.21 eV/cell


No. 3
# NbV2NiTe

Crystalline NbV2NiTe at its relaxed geometry (GGA-PBE, Alexandria).

```
NbV2NiTe
1.0
-2.9607 -3.5162 0.4307
3.9829 -3.3850 -0.2552
0.4501 0.1834 4.5912
V Nb Te Ni
2 1 1 1
Cartesian
0.2250 0.0917 2.2956
-1.4804 -1.7581 0.2153
0.0000 0.0000 0.0000
1.9914 -1.6925 -0.1276
0.7361 -3.3589 2.3833
```

Output
Uncorrected formation energy = 712 kJ/mol of formula units
DFT total energy = -29.85 eV/cell


No. 4
# RbAg2Rh2

Crystalline RbAg2Rh2 at its relaxed geometry (GGA-PBE, Alexandria).

```
RbAg2Rh2
1.0
8.4546 0.0000 0.0000
0.0000 8.4546 0.0000
0.0000 0.0000 2.8173
Rh Rb Ag
4 2 4
Cartesian
7.5384 5.1434 0.0000
0.9161 3.3112 0.0000
5.1434 0.9161 0.0000
3.3112 7.5384 0.0000
4.2273 4.2273 0.0000
0.0000 0.0000 0.0000
1.5376 5.7648 1.4087
2.6897 1.5376 1.4087
6.9170 2.6897 1.4087
5.7648 6.9170 1.4087
```

Output
Formation energy = 0.443 eV/atom
DFT total energy = -38.31 eV/cell


No. 5
# MgSc2Al

Crystalline MgSc2Al at its relaxed geometry (GGA-PBE, Alexandria).

```
MgSc2Al
1.0
4.2262 0.0000 0.0000
0.0000 3.1552 0.0027
0.0000 3.1517 6.3628
Mg Al Sc
1 1 2
Cartesian
2.1131 4.7302 4.7741
2.1131 1.5767 1.5914
0.0000 3.1519 3.1004
0.0000 3.1568 0.0851
```

Output
Formation energy = -0.237 eV/atom
DFT total energy = -18.95 eV/cell


No. 6
# NaHoSb2

Crystalline NaHoSb2 at its relaxed geometry (GGA-PBE, Alexandria).

```
NaHoSb2
1.0
-2.0810 1.2000 -3.6502
-3.9048 -1.7143 -0.9530
-5.4171 5.5013 2.2813
Sb Na Ho
2 1 1
Cartesian
-8.4727 3.6086 -1.8300
-2.9301 1.3784 -0.4919
0.0000 0.0000 0.0000
-5.7014 2.4935 -1.1609
```

Output
Uncorrected formation energy = -167 kJ/mol of formula units
DFT total energy = -15.87 eV/cell


No. 7
# CuGeTe2

Crystalline CuGeTe2 at its relaxed geometry (GGA-PBE, Alexandria).

```
CuGeTe2
1.0
1.8620 0.0000 10.9299
-0.9310 1.6126 10.9299
-0.9310 -1.6126 10.9299
Te Cu Ge
2 1 1
Cartesian
0.0000 0.0000 30.2671
0.0000 0.0000 2.5225
0.0000 0.0000 0.0000
0.0000 0.0000 16.3948
```

Output
Uncorrected formation energy = 161 kJ/mol of formula units
DFT total energy = -13.33 eV/cell


no.,volume (Å³ per cell)
1,247.83
2,329.39
3,111.55
4,201.38
5,84.81
6,126.42
7,98.46